<P>
Zn2SiBr: relaxed, PBE-GGA.

The density comes out at 4.81 g cm⁻³. The calculation puts the density of states at the Fermi level at 2.87 states/eV per cell.

Cell: 3.128 4.678 11.261 Å, 90.00 90.00 90.00°
Space group Immm (No. 71)
Inequivalent atoms, fractional coordinates:
1 Zn 0.000 0.000 0.203 [4 per cell]
2 Si 0.000 0.500 0.500 [2 per cell]
3 Br 0.000 0.500 0.000 [2 per cell]

---

<Q>
Zn2SiBr: relaxed, PBE-GGA.

The density comes out at 5.06 g cm⁻³. The calculation puts the density of states at the Fermi level at 0.88 states/eV per cell.

Cell: 3.233 3.436 7.062 Å, 90.00 90.00 90.00°
Space group Pmmm (No. 47)
Inequivalent atoms, fractional coordinates:
1 Zn 0.000 0.000 0.199 [2 per cell]
2 Si 0.500 0.500 0.000 [1 per cell]
3 Br 0.000 0.500 0.500 [1 per cell]

---

Energies relative to the minimum, eV/atom: <P> 0.247; <Q> 0.000